Version one
# Cr2Ni2Sb, relaxed, DFT GGA-PBE
data_Cr2Ni2Sb
_chemical_formula_sum 'Cr2 Ni2 Sb1'
_space_group_name_H-M_alt 'P 1'
_space_group_IT_number 1
_cell_length_a 5.826
_cell_length_b 5.826
_cell_length_c 5.826
_cell_angle_alpha 143.15
_cell_angle_beta 143.15
_cell_angle_gamma 53.11
loop_
_space_group_symop_operation_xyz
'x,y,z'
loop_
_atom_site_label
_atom_site_type_symbol
_atom_site_fract_x
_atom_site_fract_y
_atom_site_fract_z
Cr1 Cr 0.101 0.101 0.000
Cr2 Cr 0.899 0.899 0.000
Ni1 Ni 0.250 0.750 0.500
Ni2 Ni 0.750 0.250 0.500
Sb1 Sb 0.500 0.500 0.000
# Crystal system = tetragonal
# D(E_F) = 1.20 states/eV/atom


Version two
# Cr2Ni2Sb, relaxed, DFT GGA-PBE
data_Cr2Ni2Sb
_chemical_formula_sum 'Cr4 Ni4 Sb2'
_space_group_name_H-M_alt 'P 1'
_space_group_IT_number 1
_cell_length_a 6.838
_cell_length_b 6.838
_cell_length_c 3.069
_cell_angle_alpha 90.00
_cell_angle_beta 90.00
_cell_angle_gamma 90.00
loop_
_space_group_symop_operation_xyz
'x,y,z'
loop_
_atom_site_label
_atom_site_type_symbol
_atom_site_fract_x
_atom_site_fract_y
_atom_site_fract_z
Cr1 Cr 0.160 0.340 0.000
Cr2 Cr 0.340 0.840 0.000
Cr3 Cr 0.660 0.160 0.000
Cr4 Cr 0.840 0.660 0.000
Ni1 Ni 0.130 0.630 0.500
Ni2 Ni 0.370 0.130 0.500
Ni3 Ni 0.630 0.870 0.500
Ni4 Ni 0.870 0.370 0.500
Sb1 Sb 0.000 0.000 0.500
Sb2 Sb 0.500 0.500 0.500
# Crystal system = tetragonal
# D(E_F) = 1.54 states/eV/atom


Last place for stability: version one